Entry from Alexandria: a geometry-optimized TlNiAs2 structure (PBE).

Cell: 6.744 6.744 6.744 Å, 90.00 90.00 90.00°
Positions (direct):
Tl: 0.000 0.000 0.000
Tl: 0.000 0.500 0.500
Tl: 0.500 0.000 0.500
Tl: 0.500 0.500 0.000
Ni: 0.250 0.250 0.750
Ni: 0.250 0.750 0.250
Ni: 0.750 0.250 0.250
Ni: 0.750 0.750 0.750
As: 0.000 0.000 0.500
As: 0.000 0.500 0.000
As: 0.250 0.250 0.250
As: 0.250 0.750 0.750
As: 0.500 0.000 0.000
As: 0.500 0.500 0.500
As: 0.750 0.250 0.750
As: 0.750 0.750 0.250

Calculated values
Crystal system   cubic
Distance to the lowest polymorph of the same formula   0.637 eV/atom
Mass density   8.9 Mg/m³
Space group   F-43m

---

Entry from Alexandria: a geometry-optimized TlNi2As structure (PBE).

Cell: 3.108 3.313 6.635 Å, 90.00 90.00 90.00°
Positions (direct):
Tl: 0.000 0.000 0.000
Ni: 0.000 0.000 0.444
Ni: 0.500 0.500 0.238
As: 0.500 0.500 0.587

Calculated values
Crystal system   orthorhombic
Mass density   9.6 Mg/m³
Space group   Pmm2

---

Entry from Alexandria: a geometry-optimized TlNi2As structure (PBE).

Cell: 3.015 3.560 12.520 Å, 90.00 90.00 90.00°
Positions (direct):
Tl: 0.000 0.000 0.000
Tl: 0.500 0.500 0.500
Ni: 0.000 0.000 0.369
Ni: 0.000 0.500 0.694
Ni: 0.500 0.000 0.194
Ni: 0.500 0.500 0.869
As: 0.000 0.500 0.245
As: 0.500 0.000 0.745

Calculated values
Crystal system   orthorhombic
Mass density   9.8 Mg/m³
Space group   Imm2

---

Entry from Alexandria: a geometry-optimized Tl2Ni2As structure (PBE).

Cell: 6.539 6.539 4.363 Å, 90.00 90.00 90.00°
Positions (direct):
Tl: 0.165 0.335 0.000
Tl: 0.335 0.835 0.000
Tl: 0.665 0.165 0.000
Tl: 0.835 0.665 0.000
Ni: 0.153 0.653 0.500
Ni: 0.347 0.153 0.500
Ni: 0.653 0.847 0.500
Ni: 0.847 0.347 0.500
As: 0.000 0.000 0.500
As: 0.500 0.500 0.500

Calculated values
Crystal system   tetragonal
Mass density   10.7 Mg/m³
Space group   P4/mbm

---

no.,total moment (μB per formula unit),energy of formation (eV/atom)
1,0.00,0.507
2,0.00,0.060
3,0.00,0.051
4,0.00,0.234